Below is an optimized crystal structure of SiPt3, with properties calculated at the GGA-PBE level.

Values from the calculation:
Formation energy from raw total energies: -0.440 eV/atom
Calculated total energy: -25.3 eV/cell

a = 5.238 Å, b = 5.238 Å, c = 5.238 Å
α = 148.61°, β = 124.60°, γ = 65.07°
Sites, in units of the cell vectors:
Pt: 0.839 0.250 0.589
Pt: 0.488 0.457 0.032
Pt: 0.075 0.043 0.032
Si: 0.431 0.750 0.681


Below is an optimized crystal structure of LaMg6Tl4, with properties calculated at the GGA-PBE level.

Values from the calculation:
Calculated total energy: -25.2 eV/cell
Energy relative to the elements: -115 meV/atom

a = 4.590 Å, b = 8.409 Å, c = 8.409 Å
α = 120.00°, β = 90.00°, γ = 90.00°
Sites, in units of the cell vectors:
Tl: 0.000 0.333 0.667
Tl: 0.500 0.812 0.188
Tl: 0.500 0.377 0.188
Tl: 0.500 0.812 0.623
Mg: 0.500 0.587 0.794
Mg: 0.500 0.206 0.413
Mg: 0.500 0.206 0.794
Mg: 0.000 0.930 0.465
Mg: 0.000 0.535 0.465
Mg: 0.000 0.535 0.070
La: 0.000 0.000 0.000


Below is an optimized crystal structure of Na2YSbS4, with properties calculated at the GGA-PBE level.

Values from the calculation:
Formation energy from raw total energies: -1.253 eV/atom
Calculated total energy: -39.8 eV/cell

a = 3.987 Å, b = 6.949 Å, c = 7.076 Å
α = 108.93°, β = 90.00°, γ = 90.00°
Sites, in units of the cell vectors:
Y: 0.500 0.500 0.000
S: 0.000 0.258 0.773
S: 0.000 0.742 0.227
S: 0.500 0.755 0.771
S: 0.500 0.245 0.229
Sb: 0.000 0.000 0.000
Na: 0.500 0.000 0.500
Na: 0.000 0.500 0.500


Below is an optimized crystal structure of PrHo2Co, with properties calculated at the GGA-PBE level.

Values from the calculation:
Energy above the most stable polymorph in this dataset: 0 meV/atom
Calculated total energy: -86.2 eV/cell
Energy relative to the elements: -130 meV/atom

a = 6.372 Å, b = 6.978 Å, c = 9.492 Å
α = 90.00°, β = 90.00°, γ = 90.00°
Sites, in units of the cell vectors:
Ho: 0.176 0.671 0.070
Ho: 0.824 0.329 0.930
Ho: 0.176 0.671 0.430
Ho: 0.324 0.171 0.430
Ho: 0.824 0.329 0.570
Ho: 0.676 0.829 0.570
Ho: 0.324 0.171 0.070
Ho: 0.676 0.829 0.930
Pr: 0.861 0.044 0.250
Pr: 0.139 0.956 0.750
Pr: 0.639 0.544 0.250
Pr: 0.361 0.456 0.750
Co: 0.935 0.614 0.750
Co: 0.065 0.386 0.250
Co: 0.565 0.114 0.750
Co: 0.435 0.886 0.250


Below is an optimized crystal structure of CaLaTc2, with properties calculated at the GGA-PBE level.

Values from the calculation:
Energy above the most stable polymorph in this dataset: 531 meV/atom
Calculated total energy: -24.8 eV/cell
Energy relative to the elements: 711 meV/atom

a = 3.541 Å, b = 5.012 Å, c = 4.676 Å
α = 90.00°, β = 90.00°, γ = 90.00°
Site moments in Bohr magnetons follow the coordinates.
Sites, in units of the cell vectors:
Tc: 0.000 0.000 0.000  0.38
Tc: 0.500 0.500 0.000  0.05
La: 0.000 0.500 0.500  0.00
Ca: 0.500 0.000 0.500  0.01


Below is an optimized crystal structure of SrCoPb2, with properties calculated at the GGA-PBE level.

Values from the calculation:
Calculated total energy: -15.7 eV/cell
Energy relative to the elements: 134 meV/atom

a = 7.581 Å, b = 7.581 Å, c = 7.581 Å
α = 152.76°, β = 146.72°, γ = 43.52°
Site moments in Bohr magnetons follow the coordinates.
Sites, in units of the cell vectors:
Pb: 0.752 0.252 0.500  -0.01
Pb: 0.082 0.082 0.000  -0.02
Sr: 0.438 0.438 0.000  -0.01
Co: 0.228 0.728 0.500  1.01


Below is an optimized crystal structure of CsTlP2O, with properties calculated at the GGA-PBE level.

Values from the calculation:
Energy above the most stable polymorph in this dataset: 682 meV/atom
Formation energy from raw total energies: 1.231 eV/atom
Calculated total energy: -12.8 eV/cell

a = 5.771 Å, b = 5.771 Å, c = 4.585 Å
α = 90.00°, β = 90.00°, γ = 90.00°
Site moments in Bohr magnetons follow the coordinates.
Sites, in units of the cell vectors:
P: 0.500 0.000 0.000  0.45
P: 0.000 0.500 0.000  0.45
Tl: 0.500 0.500 0.500  0.05
O: 0.000 0.000 0.500  0.23
Cs: 0.000 0.000 0.000  0.01


Below is an optimized crystal structure of Pm2Dy15Tm2, with properties calculated at the GGA-PBE level.

Values from the calculation:
Calculated total energy: -81.7 eV/cell
Energy relative to the elements: 303 meV/atom

a = 8.711 Å, b = 8.711 Å, c = 8.711 Å
α = 78.88°, β = 78.88°, γ = 78.88°
Sites, in units of the cell vectors:
Dy: 0.625 0.625 0.151
Dy: 0.151 0.625 0.625
Dy: 0.698 0.302 0.000
Dy: 0.000 0.698 0.302
Dy: 0.302 0.698 0.000
Dy: 0.000 0.000 0.500
Dy: 0.375 0.375 0.849
Dy: 0.302 0.000 0.698
Dy: 0.849 0.375 0.375
Dy: 0.000 0.302 0.698
Dy: 0.375 0.849 0.375
Dy: 0.625 0.151 0.625
Dy: 0.698 0.000 0.302
Dy: 0.000 0.500 0.000
Dy: 0.500 0.000 0.000
Tm: 0.680 0.680 0.680
Tm: 0.320 0.320 0.320
Pm: 0.906 0.906 0.906
Pm: 0.094 0.094 0.094